First-principles (GGA-PBE) data for a geometry-optimized NaSbMo3 structure, as listed in the Alexandria database.

The space group is Pm-3m (No. 221) and the conventional cell measures 4.6169, 4.6169 and 4.6169 Å, with angles of 90.00, 90.00 and 90.00 degrees. The distinct sites, in fractional coordinates, are Na at (0.0000, 0.0000, 0.0000), Sb at (0.5000, 0.5000, 0.5000) and Mo at (0.0000, 0.0000, 0.5000).

The value obtained for the density is 7.3 g/cm³. The value obtained for the electronic total energy is -5.225 eV/atom. For the total magnetic moment, the calculation gives 0.7995 μB/atom. Its energy above the most stable polymorph in this dataset is 0.396 eV/atom. The calculation puts the volume at 19.68 Å³ per atom. The uncorrected formation energy comes out at 2362.4 meV/atom.

First-principles (GGA-PBE) data for a geometry-optimized SnTe2Se6 structure, as listed in the Alexandria database.

The space group is C2/m (No. 12) and the conventional cell measures 17.6688, 3.9467 and 8.1448 Å, with angles of 90.00, 105.98 and 90.00 degrees. The distinct sites, in fractional coordinates, are Sn at (0.0000, 0.0000, 0.0000), Te at (0.1661, 0.5000, 0.3323), Se at (0.0003, 0.5000, 0.2380), Se at (0.1614, 0.0000, 0.0798) and Se at (0.1659, 0.0000, 0.5808).

The value obtained for the density is 5.2 g/cm³. The value obtained for the electronic total energy is -3.589 eV/atom. For the total magnetic moment, the calculation gives 0.0000 μB/atom. The calculation puts the volume at 30.34 Å³ per atom. The uncorrected formation energy comes out at -123.4 meV/atom.